Co2Hg: relaxed, PBE.

Calculated values
Crystal system = orthorhombic
Energy of formation = 0.309 eV per atom

a = 2.7835 Å, b = 16.8845 Å, c = 3.9615 Å
α = 90.00°, β = 90.00°, γ = 90.00°
Atoms (fractional coordinates):
1 Co 0.0000 0.0440 0.2500
2 Co 0.0000 0.4276 0.2500
3 Co 0.0000 0.5724 0.7500
4 Co 0.0000 0.9560 0.7500
5 Co 0.5000 0.0724 0.7500
6 Co 0.5000 0.4560 0.7500
7 Co 0.5000 0.5440 0.2500
8 Co 0.5000 0.9276 0.2500
9 Hg 0.0000 0.3103 0.7500
10 Hg 0.0000 0.6897 0.2500
11 Hg 0.5000 0.1897 0.2500
12 Hg 0.5000 0.8103 0.7500

=====

SrCaLaEu: relaxed, PBE.

Calculated values
Crystal system = cubic
Energy of formation = 0.111 eV per atom

a = 8.8421 Å, b = 8.8421 Å, c = 8.8421 Å
α = 90.00°, β = 90.00°, γ = 90.00°
Atoms (fractional coordinates):
1 Sr 0.0000 0.0000 0.0000
2 Sr 0.0000 0.5000 0.5000
3 Sr 0.5000 0.0000 0.5000
4 Sr 0.5000 0.5000 0.0000
5 Ca 0.2500 0.2500 0.2500
6 Ca 0.2500 0.7500 0.7500
7 Ca 0.7500 0.2500 0.7500
8 Ca 0.7500 0.7500 0.2500
9 La 0.0000 0.0000 0.5000
10 La 0.0000 0.5000 0.0000
11 La 0.5000 0.0000 0.0000
12 La 0.5000 0.5000 0.5000
13 Eu 0.2500 0.2500 0.7500
14 Eu 0.2500 0.7500 0.2500
15 Eu 0.7500 0.2500 0.2500
16 Eu 0.7500 0.7500 0.7500

=====

CoSN2: relaxed, PBE.

Calculated values
Crystal system = monoclinic
Distance to the lowest polymorph of the same formula = 2.84 eV/f.u.

a = 5.8388 Å, b = 3.0419 Å, c = 5.6527 Å
α = 90.00°, β = 113.38°, γ = 90.00°
Atoms (fractional coordinates):
1 Co 0.0000 0.0000 0.0000
2 Co 0.5000 0.5000 0.0000
3 S 0.0580 0.0000 0.5750
4 S 0.5580 0.5000 0.5750
5 N 0.1397 0.0000 0.3470
6 N 0.2885 0.0000 0.8800
7 N 0.6397 0.5000 0.3470
8 N 0.7885 0.5000 0.8800

=====

Ca2CuCl6: relaxed, PBE.

Calculated values
Crystal system = monoclinic
Distance to the lowest polymorph of the same formula = 0.20 eV/f.u.

a = 7.1838 Å, b = 7.1838 Å, c = 9.5367 Å
α = 106.13°, β = 106.13°, γ = 32.55°
Atoms (fractional coordinates):
1 Ca 0.1780 0.1780 0.3094
2 Ca 0.8220 0.8220 0.6906
3 Cu 0.5000 0.5000 0.0000
4 Cl 0.1265 0.1265 0.0163
5 Cl 0.1829 0.1829 0.6043
6 Cl 0.4673 0.4673 0.7503
7 Cl 0.5327 0.5327 0.2497
8 Cl 0.8171 0.8171 0.3957
9 Cl 0.8735 0.8735 0.9837

=====

SrCoSCl2: relaxed, PBE.

Calculated values
Crystal system = tetragonal
Distance to the lowest polymorph of the same formula = 0.00 eV/f.u.

a = 4.8348 Å, b = 4.8348 Å, c = 4.5962 Å
α = 90.00°, β = 90.00°, γ = 90.00°
Atoms (fractional coordinates):
1 Sr 0.0000 0.0000 0.0000
2 Co 0.5000 0.5000 0.5000
3 S 0.5000 0.5000 0.0000
4 Cl 0.0000 0.5000 0.5000
5 Cl 0.5000 0.0000 0.5000

=====

Ca2Ag2Sn: relaxed, PBE.

Calculated values
Crystal system = tetragonal
Energy of formation = -0.249 eV per atom
Distance to the lowest polymorph of the same formula = 1.06 eV/f.u.

a = 5.9119 Å, b = 5.9119 Å, c = 8.0427 Å
α = 90.00°, β = 90.00°, γ = 90.00°
Atoms (fractional coordinates):
1 Ca 0.0000 0.5000 0.2500
2 Ca 0.0000 0.5000 0.7500
3 Ca 0.5000 0.0000 0.2500
4 Ca 0.5000 0.0000 0.7500
5 Ag 0.0000 0.0000 0.1600
6 Ag 0.0000 0.0000 0.8400
7 Ag 0.5000 0.5000 0.3400
8 Ag 0.5000 0.5000 0.6600
9 Sn 0.0000 0.0000 0.5000
10 Sn 0.5000 0.5000 0.0000

=====

HfCrFe3: relaxed, PBE.

Calculated values
Crystal system = cubic
Energy of formation = 2.140 eV per atom

a = 4.3851 Å, b = 4.3851 Å, c = 4.3851 Å
α = 90.00°, β = 90.00°, γ = 90.00°
Atoms (fractional coordinates):
1 Hf 0.0000 0.0000 0.0000
2 Cr 0.5000 0.5000 0.5000
3 Fe 0.0000 0.0000 0.5000
4 Fe 0.0000 0.5000 0.0000
5 Fe 0.5000 0.0000 0.0000

=====

Ga2BC: relaxed, PBE.

Calculated values
Crystal system = tetragonal
Energy of formation = 0.929 eV per atom
Distance to the lowest polymorph of the same formula = 0.00 eV/f.u.

a = 5.0440 Å, b = 5.0440 Å, c = 8.7520 Å
α = 90.00°, β = 90.00°, γ = 90.00°
Atoms (fractional coordinates):
1 Ga 0.2169 0.2500 0.1250
2 Ga 0.2500 0.7169 0.3750
3 Ga 0.2500 0.7831 0.8750
4 Ga 0.2831 0.2500 0.6250
5 Ga 0.7169 0.7500 0.6250
6 Ga 0.7500 0.2169 0.8750
7 Ga 0.7500 0.2831 0.3750
8 Ga 0.7831 0.7500 0.1250
9 B 0.0000 0.0000 0.5000
10 B 0.0000 0.5000 0.7500
11 B 0.5000 0.0000 0.2500
12 B 0.5000 0.5000 0.0000
13 C 0.0000 0.0000 0.0000
14 C 0.0000 0.5000 0.2500
15 C 0.5000 0.0000 0.7500
16 C 0.5000 0.5000 0.5000

=====

CaEr5Mg6: relaxed, PBE.

Calculated values
Crystal system = monoclinic
Energy of formation = -0.058 eV per atom

a = 5.3915 Å, b = 7.5222 Å, c = 8.5169 Å
α = 90.00°, β = 108.15°, γ = 90.00°
Atoms (fractional coordinates):
1 Ca 0.0000 0.0000 0.0000
2 Er 0.0000 0.5000 0.0000
3 Er 0.3297 0.0000 0.6608
4 Er 0.3334 0.5000 0.6687
5 Er 0.6666 0.5000 0.3313
6 Er 0.6703 0.0000 0.3392
7 Mg 0.1694 0.2537 0.3363
8 Mg 0.1694 0.7463 0.3363
9 Mg 0.5000 0.2546 0.0000
10 Mg 0.5000 0.7454 0.0000
11 Mg 0.8306 0.2537 0.6637
12 Mg 0.8306 0.7463 0.6637

=====

NdEr12Sc6: relaxed, PBE.

Calculated values
Crystal system = trigonal
Energy of formation = 0.425 eV per atom
Distance to the lowest polymorph of the same formula = 3.38 eV/f.u.

a = 8.9665 Å, b = 8.9665 Å, c = 8.9665 Å
α = 107.27°, β = 107.27°, γ = 107.27°
Atoms (fractional coordinates):
1 Nd 0.0000 0.0000 0.0000
2 Er 0.1127 0.5000 0.8873
3 Er 0.1127 0.8873 0.5000
4 Er 0.1500 0.3767 0.3767
5 Er 0.3767 0.1500 0.3767
6 Er 0.3767 0.3767 0.1500
7 Er 0.5000 0.1127 0.8873
8 Er 0.5000 0.8873 0.1127
9 Er 0.6233 0.6233 0.8500
10 Er 0.6233 0.8500 0.6233
11 Er 0.8500 0.6233 0.6233
12 Er 0.8873 0.1127 0.5000
13 Er 0.8873 0.5000 0.1127
14 Sc 0.2766 0.6929 0.6929
15 Sc 0.3071 0.3071 0.7234
16 Sc 0.3071 0.7234 0.3071
17 Sc 0.6929 0.2766 0.6929
18 Sc 0.6929 0.6929 0.2766
19 Sc 0.7234 0.3071 0.3071

=====

K2CoHg: relaxed, PBE.

Calculated values
Crystal system = monoclinic
Energy of formation = 0.590 eV per atom

a = 4.0088 Å, b = 4.2212 Å, c = 8.2358 Å
α = 90.00°, β = 90.24°, γ = 90.00°
Atoms (fractional coordinates):
1 K 0.0016 0.0000 0.2333
2 K 0.9984 0.0000 0.7667
3 Co 0.5000 0.5000 0.0000
4 Hg 0.5000 0.5000 0.5000

=====

KNi2Se: relaxed, PBE.

Calculated values
Crystal system = tetragonal

a = 4.0191 Å, b = 4.0191 Å, c = 8.6826 Å
α = 90.00°, β = 90.00°, γ = 90.00°
Atoms (fractional coordinates):
1 K 0.0000 0.0000 0.0000
2 K 0.5000 0.5000 0.5000
3 Ni 0.0000 0.0000 0.5000
4 Ni 0.0000 0.5000 0.7500
5 Ni 0.5000 0.0000 0.2500
6 Ni 0.5000 0.5000 0.0000
7 Se 0.0000 0.5000 0.2500
8 Se 0.5000 0.0000 0.7500

=====

AlSn3As: relaxed, PBE.

Calculated values
Crystal system = cubic
Energy of formation = 0.510 eV per atom
Distance to the lowest polymorph of the same formula = 0.00 eV/f.u.

a = 5.2469 Å, b = 5.2469 Å, c = 5.2469 Å
α = 90.00°, β = 90.00°, γ = 90.00°
Atoms (fractional coordinates):
1 Al 0.0000 0.0000 0.0000
2 Sn 0.0000 0.0000 0.5000
3 Sn 0.0000 0.5000 0.0000
4 Sn 0.5000 0.0000 0.0000
5 As 0.5000 0.5000 0.5000

=====

VPt: relaxed, PBE.

Calculated values
Crystal system = cubic
Energy of formation = 0.449 eV per atom

a = 5.5620 Å, b = 5.5620 Å, c = 5.5620 Å
α = 90.00°, β = 90.00°, γ = 90.00°
Atoms (fractional coordinates):
1 V 0.0000 0.0000 0.0000
2 V 0.0000 0.5000 0.5000
3 V 0.5000 0.0000 0.5000
4 V 0.5000 0.5000 0.0000
5 Pt 0.2500 0.2500 0.7500
6 Pt 0.2500 0.7500 0.2500
7 Pt 0.7500 0.2500 0.2500
8 Pt 0.7500 0.7500 0.7500

=====

MgRe2Te: relaxed, PBE.

Calculated values
Crystal system = tetragonal
Distance to the lowest polymorph of the same formula = 2.32 eV/f.u.

a = 3.9089 Å, b = 3.9089 Å, c = 9.1739 Å
α = 90.00°, β = 90.00°, γ = 90.00°
Atoms (fractional coordinates):
1 Mg 0.0000 0.0000 0.0000
2 Mg 0.5000 0.5000 0.5000
3 Re 0.0000 0.5000 0.2500
4 Re 0.0000 0.5000 0.7500
5 Re 0.5000 0.0000 0.2500
6 Re 0.5000 0.0000 0.7500
7 Te 0.0000 0.0000 0.5000
8 Te 0.5000 0.5000 0.0000

=====

TbYAlAg: relaxed, PBE.

Calculated values
Crystal system = cubic
Energy of formation = -0.352 eV per atom
Distance to the lowest polymorph of the same formula = 0.07 eV/f.u.

a = 7.3136 Å, b = 7.3136 Å, c = 7.3136 Å
α = 90.00°, β = 90.00°, γ = 90.00°
Atoms (fractional coordinates):
1 Tb 0.0000 0.0000 0.0000
2 Tb 0.0000 0.5000 0.5000
3 Tb 0.5000 0.0000 0.5000
4 Tb 0.5000 0.5000 0.0000
5 Y 0.0000 0.0000 0.5000
6 Y 0.0000 0.5000 0.0000
7 Y 0.5000 0.0000 0.0000
8 Y 0.5000 0.5000 0.5000
9 Al 0.2500 0.2500 0.2500
10 Al 0.2500 0.7500 0.7500
11 Al 0.7500 0.2500 0.7500
12 Al 0.7500 0.7500 0.2500
13 Ag 0.2500 0.2500 0.7500
14 Ag 0.2500 0.7500 0.2500
15 Ag 0.7500 0.2500 0.2500
16 Ag 0.7500 0.7500 0.7500

=====

NaBe2OsO6: relaxed, PBE.

Calculated values
Crystal system = monoclinic

a = 6.3897 Å, b = 6.3897 Å, c = 4.9249 Å
α = 95.18°, β = 95.18°, γ = 92.83°
Atoms (fractional coordinates):
1 Na 0.0829 0.9171 0.7500
2 Na 0.9171 0.0829 0.2500
3 Be 0.2348 0.3903 0.6881
4 Be 0.3903 0.2348 0.1881
5 Be 0.6097 0.7652 0.8119
6 Be 0.7652 0.6097 0.3119
7 Os 0.2786 0.7214 0.2500
8 Os 0.7214 0.2786 0.7500
9 O 0.0051 0.2602 0.6645
10 O 0.2002 0.5978 0.9067
11 O 0.2602 0.0051 0.1645
12 O 0.2825 0.4263 0.3689
13 O 0.4022 0.7998 0.5933
14 O 0.4263 0.2825 0.8689
15 O 0.5737 0.7175 0.1311
16 O 0.5978 0.2002 0.4067
17 O 0.7175 0.5737 0.6311
18 O 0.7398 0.9949 0.8355
19 O 0.7998 0.4022 0.0933
20 O 0.9949 0.7398 0.3355

=====

SmCu3Pd4O12: relaxed, PBE.

Calculated values
Crystal system = cubic

a = 6.5947 Å, b = 6.5947 Å, c = 6.5947 Å
α = 109.47°, β = 109.47°, γ = 109.47°
Atoms (fractional coordinates):
1 Sm 0.0000 0.0000 0.0000
2 Cu 0.0000 0.5000 0.5000
3 Cu 0.5000 0.0000 0.5000
4 Cu 0.5000 0.5000 0.0000
5 Pd 0.0000 0.0000 0.5000
6 Pd 0.0000 0.5000 0.0000
7 Pd 0.5000 0.0000 0.0000
8 Pd 0.5000 0.5000 0.5000
9 O 0.1447 0.8385 0.3062
10 O 0.1615 0.3062 0.4677
11 O 0.1615 0.6938 0.8553
12 O 0.3062 0.1447 0.8385
13 O 0.3062 0.4677 0.1615
14 O 0.4677 0.1615 0.3062
15 O 0.5323 0.8385 0.6938
16 O 0.6938 0.5323 0.8385
17 O 0.6938 0.8553 0.1615
18 O 0.8385 0.3062 0.1447
19 O 0.8385 0.6938 0.5323
20 O 0.8553 0.1615 0.6938

=====

PaRe4P2: relaxed, PBE.

Calculated values
Crystal system = orthorhombic
Energy of formation = -0.535 eV per atom

a = 4.0600 Å, b = 13.5414 Å, c = 4.0466 Å
α = 90.00°, β = 90.00°, γ = 90.00°
Atoms (fractional coordinates):
1 Pa 0.0000 0.0000 0.0000
2 Pa 0.5000 0.5000 0.0000
3 Re 0.0000 0.1803 0.5000
4 Re 0.0000 0.3112 0.0000
5 Re 0.0000 0.6888 0.0000
6 Re 0.0000 0.8197 0.5000
7 Re 0.5000 0.1888 0.0000
8 Re 0.5000 0.3197 0.5000
9 Re 0.5000 0.6803 0.5000
10 Re 0.5000 0.8112 0.0000
11 P 0.0000 0.4164 0.5000
12 P 0.0000 0.5836 0.5000
13 P 0.5000 0.0836 0.5000
14 P 0.5000 0.9164 0.5000

=====

LaHoMg2Ag4: relaxed, PBE.

Calculated values
Crystal system = trigonal
Energy of formation = -0.284 eV per atom

a = 8.8122 Å, b = 8.8122 Å, c = 8.8122 Å
α = 33.00°, β = 33.00°, γ = 33.00°
Atoms (fractional coordinates):
1 La 0.0000 0.0000 0.0000
2 Ho 0.5000 0.5000 0.5000
3 Mg 0.2474 0.2474 0.2474
4 Mg 0.7526 0.7526 0.7526
5 Ag 0.1279 0.1279 0.1279
6 Ag 0.3820 0.3820 0.3820
7 Ag 0.6180 0.6180 0.6180
8 Ag 0.8721 0.8721 0.8721

=====

MgPaCo: relaxed, PBE.

Calculated values
Crystal system = tetragonal
Energy of formation = -0.067 eV per atom
Distance to the lowest polymorph of the same formula = 0.04 eV/f.u.

a = 3.1071 Å, b = 3.1071 Å, c = 11.9994 Å
α = 90.00°, β = 90.00°, γ = 90.00°
Atoms (fractional coordinates):
1 Mg 0.0000 0.0000 0.0000
2 Mg 0.5000 0.5000 0.5000
3 Pa 0.0000 0.0000 0.2725
4 Pa 0.5000 0.5000 0.7725
5 Co 0.0000 0.0000 0.6440
6 Co 0.5000 0.5000 0.1440

=====

Er2TaGe2Ru5: relaxed, PBE.

Calculated values
Crystal system = tetragonal
Energy of formation = -0.511 eV per atom

a = 10.1283 Å, b = 10.1283 Å, c = 3.2951 Å
α = 90.00°, β = 90.00°, γ = 90.00°
Atoms (fractional coordinates):
1 Er 0.1721 0.3279 0.0000
2 Er 0.3279 0.8279 0.0000
3 Er 0.6721 0.1721 0.0000
4 Er 0.8279 0.6721 0.0000
5 Ta 0.0000 0.0000 0.0000
6 Ta 0.5000 0.5000 0.0000
7 Ge 0.1279 0.6279 0.0000
8 Ge 0.3721 0.1279 0.0000
9 Ge 0.6279 0.8721 0.0000
10 Ge 0.8721 0.3721 0.0000
11 Ru 0.0000 0.5000 0.5000
12 Ru 0.0647 0.7971 0.5000
13 Ru 0.2029 0.0647 0.5000
14 Ru 0.2971 0.5647 0.5000
15 Ru 0.4353 0.2971 0.5000
16 Ru 0.5000 0.0000 0.5000
17 Ru 0.5647 0.7029 0.5000
18 Ru 0.7029 0.4353 0.5000
19 Ru 0.7971 0.9353 0.5000
20 Ru 0.9353 0.2029 0.5000

=====

TcHgN3: relaxed, PBE.

Calculated values
Crystal system = cubic

a = 4.1365 Å, b = 4.1365 Å, c = 4.1365 Å
α = 90.00°, β = 90.00°, γ = 90.00°
Atoms (fractional coordinates):
1 Tc 0.0000 0.0000 0.0000
2 Hg 0.5000 0.5000 0.5000
3 N 0.0000 0.5000 0.5000
4 N 0.5000 0.0000 0.5000
5 N 0.5000 0.5000 0.0000

=====

LiAlNi2: relaxed, PBE.

Calculated values
Crystal system = orthorhombic
Energy of formation = -0.369 eV per atom

a = 6.0100 Å, b = 7.8589 Å, c = 3.9376 Å
α = 90.00°, β = 90.00°, γ = 90.00°
Atoms (fractional coordinates):
1 Li 0.0000 0.1181 0.2500
2 Li 0.0000 0.8819 0.7500
3 Li 0.5000 0.3819 0.7500
4 Li 0.5000 0.6181 0.2500
5 Al 0.0000 0.3685 0.7500
6 Al 0.0000 0.6315 0.2500
7 Al 0.5000 0.1315 0.2500
8 Al 0.5000 0.8685 0.7500
9 Ni 0.2418 0.3736 0.2500
10 Ni 0.2418 0.6264 0.7500
11 Ni 0.2582 0.1264 0.7500
12 Ni 0.2582 0.8736 0.2500
13 Ni 0.7418 0.1264 0.7500
14 Ni 0.7418 0.8736 0.2500
15 Ni 0.7582 0.3736 0.2500
16 Ni 0.7582 0.6264 0.7500

=====

Results for DFT total energy: -54.34 -73.77 -50.39 -34.50 -22.26 -29.90 -34.26 -72.95 -35.08 -89.43 -7.24 -27.66 -17.85 -57.05 -52.93 -76.38 -133.34 -113.32 -147.70 -26.37 -36.79 -163.41 -21.19 -74.79 (in eV/cell, following the order of the records).
Results for total moment: 3.5 7.6 0.0 1.0 2.2 0.0 0.4 0.0 0.0 0.0 1.9 0.5 0.0 1.1 0.0 0.0 0.6 0.0 0.0 0.0 0.0 0.0 2.1 0.0 (in μB per formula unit, following the order of the records).